# 1
Density functional theory data (GGA-PBE) for crystalline Ta2Mn2Zn at its relaxed geometry.

**DFT formation energy**: 0.35 eV per atom
**E above lowest polymorph**: 5.17 kcal/mol of atoms
**Theoretical density**: 11402 kg/m³
**DOS(E_F)**: 5.523 states/eV/f.u.
**M_tot**: 0.319 μB per atom
**V**: 15.65 Å³ per atom

The structure in CIF format:
```
data_Ta2Mn2Zn
_chemical_formula_sum 'Ta4 Mn4 Zn2'
_cell_length_a 7.296
_cell_length_b 7.296
_cell_length_c 2.939
_cell_angle_alpha 90.00
_cell_angle_beta 90.00
_cell_angle_gamma 90.00
_symmetry_space_group_name_H-M 'P 4/m b m'
_symmetry_Int_Tables_number 127
_symmetry_space_group_name_Hall '-P 4 2ab'
loop_
_atom_site_label
_atom_site_type_symbol
_atom_site_fract_x
_atom_site_fract_y
_atom_site_fract_z
Ta1 Ta 0.147 0.353 0.000
Mn1 Mn 0.151 0.651 0.500
Zn1 Zn 0.000 0.000 0.000
```

=====

# 2
Density functional theory data (GGA-PBE) for crystalline YHoNiPd at its relaxed geometry.

**DFT formation energy**: -0.62 eV per atom
**E above lowest polymorph**: 1.02 kcal/mol of atoms
**Theoretical density**: 8447 kg/m³
**DOS(E_F)**: 3.765 states/eV/f.u.
**M_tot**: 0.000 μB per atom
**V**: 20.59 Å³ per atom

The structure in CIF format:
```
data_YHoNiPd
_chemical_formula_sum 'Y4 Ho4 Ni4 Pd4'
_cell_length_a 6.907
_cell_length_b 6.907
_cell_length_c 6.907
_cell_angle_alpha 90.00
_cell_angle_beta 90.00
_cell_angle_gamma 90.00
_symmetry_space_group_name_H-M 'F -4 3 m'
_symmetry_Int_Tables_number 216
_symmetry_space_group_name_Hall 'F -4 2 3'
loop_
_atom_site_label
_atom_site_type_symbol
_atom_site_fract_x
_atom_site_fract_y
_atom_site_fract_z
Y1 Y 0.000 0.000 0.000
Ho1 Ho 0.000 0.000 0.500
Ni1 Ni 0.250 0.250 0.250
Pd1 Pd 0.250 0.250 0.750
```

=====

# 3
Density functional theory data (GGA-PBE) for crystalline CrPtC2 at its relaxed geometry.

**DFT formation energy**: 0.66 eV per atom
**E above lowest polymorph**: 0.00 kcal/mol of atoms
**Theoretical density**: 9540 kg/m³
**DOS(E_F)**: 1.655 states/eV/f.u.
**M_tot**: 0.000 μB per atom
**V**: 11.80 Å³ per atom

The structure in CIF format:
```
data_CrPtC2
_chemical_formula_sum 'Cr4 Pt4 C8'
_cell_length_a 4.580
_cell_length_b 4.580
_cell_length_c 8.999
_cell_angle_alpha 90.00
_cell_angle_beta 90.00
_cell_angle_gamma 90.00
_symmetry_space_group_name_H-M 'I -4 2 d'
_symmetry_Int_Tables_number 122
_symmetry_space_group_name_Hall 'I -4 2bw'
loop_
_atom_site_label
_atom_site_type_symbol
_atom_site_fract_x
_atom_site_fract_y
_atom_site_fract_z
Cr1 Cr 0.000 0.000 0.000
Pt1 Pt 0.000 0.000 0.500
C1 C 0.219 0.250 0.125
```

=====

# 4
Density functional theory data (GGA-PBE) for crystalline NdZnGa5Pd2 at its relaxed geometry.

**DFT formation energy**: -0.27 eV per atom
**Theoretical density**: 6697 kg/m³
**DOS(E_F)**: 4.389 states/eV/f.u.
**M_tot**: 0.000 μB per atom
**V**: 21.24 Å³ per atom

The structure in CIF format:
```
data_NdZnGa5Pd2
_chemical_formula_sum 'Nd1 Zn1 Ga5 Pd2'
_cell_length_a 4.282
_cell_length_b 4.282
_cell_length_c 10.427
_cell_angle_alpha 90.00
_cell_angle_beta 90.00
_cell_angle_gamma 90.00
_symmetry_space_group_name_H-M 'P 4/m m m'
_symmetry_Int_Tables_number 123
_symmetry_space_group_name_Hall '-P 4 2'
loop_
_atom_site_label
_atom_site_type_symbol
_atom_site_fract_x
_atom_site_fract_y
_atom_site_fract_z
Nd1 Nd 0.000 0.000 0.000
Zn1 Zn 0.000 0.000 0.500
Ga1 Ga 0.000 0.500 0.348
Ga2 Ga 0.500 0.500 0.000
Pd1 Pd 0.500 0.500 0.226
```

=====

# 5
Density functional theory data (GGA-PBE) for crystalline Cr2ReTe at its relaxed geometry.

**Theoretical density**: 10600 kg/m³
**DOS(E_F)**: 5.407 states/eV/f.u.
**Final energy**: -8.17 eV per atom
**M_tot**: 0.000 μB per atom
**V**: 16.36 Å³ per atom

The structure in CIF format:
```
data_Cr2ReTe
_chemical_formula_sum 'Cr2 Re1 Te1'
_cell_length_a 2.978
_cell_length_b 3.853
_cell_length_c 5.711
_cell_angle_alpha 90.00
_cell_angle_beta 92.68
_cell_angle_gamma 90.00
_symmetry_space_group_name_H-M 'P 1 2/m 1'
_symmetry_Int_Tables_number 10
_symmetry_space_group_name_Hall '-P 2y'
loop_
_atom_site_label
_atom_site_type_symbol
_atom_site_fract_x
_atom_site_fract_y
_atom_site_fract_z
Cr1 Cr 0.014 0.000 0.181
Re1 Re 0.500 0.500 0.000
Te1 Te 0.500 0.500 0.500
```

=====

# 6
Density functional theory data (GGA-PBE) for crystalline LaSc3Al8 at its relaxed geometry.

**DFT formation energy**: -0.46 eV per atom
**E above lowest polymorph**: 0.00 kcal/mol of atoms
**Theoretical density**: 3504 kg/m³
**DOS(E_F)**: 9.120 states/eV/f.u.
**M_tot**: 0.000 μB per atom
**V**: 19.33 Å³ per atom

The structure in CIF format:
```
data_LaSc3Al8
_chemical_formula_sum 'La3 Sc9 Al24'
_cell_length_a 5.4437
_cell_length_b 5.4437
_cell_length_c 27.1208
_cell_angle_alpha 90.00
_cell_angle_beta 90.00
_cell_angle_gamma 120.00
_symmetry_space_group_name_H-M 'R 3 m'
_symmetry_Int_Tables_number 160
_symmetry_space_group_name_Hall 'R 3 -2"'
loop_
_atom_site_label
_atom_site_type_symbol
_atom_site_fract_x
_atom_site_fract_y
_atom_site_fract_z
La1 La 0.0000 0.0000 0.0000
Sc1 Sc 0.0000 0.0000 0.3787
Sc2 Sc 0.0000 0.0000 0.4986
Sc3 Sc 0.0000 0.0000 0.8735
Al1 Al 0.0000 0.0000 0.1864
Al2 Al 0.0000 0.0000 0.6880
Al3 Al 0.0022 0.5011 0.4398
Al4 Al 0.1677 0.3355 0.2667
```

=====

# 7
Density functional theory data (GGA-PBE) for crystalline Pr4GaOsBr2 at its relaxed geometry.

**Theoretical density**: 6685 kg/m³
**DOS(E_F)**: 4.337 states/eV/f.u.
**Final energy**: -5.38 eV per atom
**M_tot**: 0.000 μB per atom
**V**: 30.54 Å³ per atom

The structure in CIF format:
```
data_Pr4GaOsBr2
_chemical_formula_sum 'Pr4 Ga1 Os1 Br2'
_cell_length_a 7.530
_cell_length_b 4.171
_cell_length_c 8.178
_cell_angle_alpha 90.00
_cell_angle_beta 108.01
_cell_angle_gamma 90.00
_symmetry_space_group_name_H-M 'P 1 2/m 1'
_symmetry_Int_Tables_number 10
_symmetry_space_group_name_Hall '-P 2y'
loop_
_atom_site_label
_atom_site_type_symbol
_atom_site_fract_x
_atom_site_fract_y
_atom_site_fract_z
Pr1 Pr 0.230 0.000 0.201
Pr2 Pr 0.233 0.500 0.795
Ga1 Ga 0.500 0.000 0.000
Os1 Os 0.000 0.500 0.000
Br1 Br 0.000 0.000 0.500
Br2 Br 0.500 0.500 0.500
```

=====

# 8
Density functional theory data (GGA-PBE) for crystalline Tb6HoEr12 at its relaxed geometry.

**DFT formation energy**: 0.46 eV per atom
**E above lowest polymorph**: 6.90 kcal/mol of atoms
**Theoretical density**: 8032 kg/m³
**DOS(E_F)**: 30.616 states/eV/f.u.
**M_tot**: 0.000 μB per atom
**V**: 34.01 Å³ per atom

The structure in CIF format:
```
data_Tb6HoEr12
_chemical_formula_sum 'Tb18 Ho3 Er36'
_cell_length_a 14.7946
_cell_length_b 14.7946
_cell_length_c 10.2269
_cell_angle_alpha 90.00
_cell_angle_beta 90.00
_cell_angle_gamma 120.00
_symmetry_space_group_name_H-M 'R -3 m'
_symmetry_Int_Tables_number 166
_symmetry_space_group_name_Hall '-R 3 2"'
loop_
_atom_site_label
_atom_site_type_symbol
_atom_site_fract_x
_atom_site_fract_y
_atom_site_fract_z
Tb1 Tb 0.0728 0.5364 0.2194
Ho1 Ho 0.0000 0.0000 0.0000
Er1 Er 0.0000 0.3878 0.5000
Er2 Er 0.0781 0.1563 0.2527
```

=====

# 9
Density functional theory data (GGA-PBE) for crystalline Pr4AgPt2 at its relaxed geometry.

**DFT formation energy**: -0.61 eV per atom
**Theoretical density**: 8181 kg/m³
**DOS(E_F)**: 6.515 states/eV/f.u.
**M_tot**: 0.000 μB per atom
**V**: 30.78 Å³ per atom

The structure in CIF format:
```
data_Pr4AgPt2
_chemical_formula_sum 'Pr16 Ag4 Pt8'
_cell_length_a 9.547
_cell_length_b 9.547
_cell_length_c 9.456
_cell_angle_alpha 90.00
_cell_angle_beta 90.00
_cell_angle_gamma 90.00
_symmetry_space_group_name_H-M 'I 41/a m d'
_symmetry_Int_Tables_number 141
loop_
_symmetry_equiv_pos_as_xyz
'x,y,z'
'-x,-y,-z'
'-y+1/4,x+3/4,z+1/4'
'y+1/4,-x+3/4,-z+1/4'
'-x+1/2,-y,z+1/2'
'x+1/2,y,-z+1/2'
'y+1/4,-x+1/4,z+3/4'
'-y+1/4,x+1/4,-z+3/4'
'x,-y,-z'
'-x,y,z'
'-y+1/4,-x+1/4,-z+3/4'
'y+1/4,x+1/4,z+3/4'
'-x+1/2,y,-z+1/2'
'x+1/2,-y,z+1/2'
'y+1/4,x+3/4,-z+1/4'
'-y+1/4,-x+3/4,z+1/4'
'x+1/2,y+1/2,z+1/2'
'-x+1/2,-y+1/2,-z+1/2'
'-y+3/4,x+1/4,z+3/4'
'y+3/4,-x+1/4,-z+3/4'
'-x,-y+1/2,z'
'x,y+1/2,-z'
'y+3/4,-x+3/4,z+1/4'
'-y+3/4,x+3/4,-z+1/4'
'x+1/2,-y+1/2,-z+1/2'
'-x+1/2,y+1/2,z+1/2'
'-y+3/4,-x+3/4,-z+1/4'
'y+3/4,x+3/4,z+1/4'
'-x,y+1/2,-z'
'x,-y+1/2,z'
'y+3/4,x+1/4,-z+3/4'
'-y+3/4,-x+1/4,z+3/4'
loop_
_atom_site_label
_atom_site_type_symbol
_atom_site_fract_x
_atom_site_fract_y
_atom_site_fract_z
Pr1 Pr 0.000 0.064 0.205
Ag1 Ag 0.000 0.250 0.875
Pt1 Pt 0.000 0.000 0.500
```

=====

# 10
Density functional theory data (GGA-PBE) for crystalline DyThTlPd at its relaxed geometry.

**DFT formation energy**: -0.38 eV per atom
**Theoretical density**: 11299 kg/m³
**DOS(E_F)**: 3.735 states/eV/f.u.
**M_tot**: 0.000 μB per atom
**V**: 25.91 Å³ per atom

The structure in CIF format:
```
data_DyThTlPd
_chemical_formula_sum 'Dy4 Th4 Tl4 Pd4'
_cell_length_a 7.457
_cell_length_b 7.457
_cell_length_c 7.457
_cell_angle_alpha 90.00
_cell_angle_beta 90.00
_cell_angle_gamma 90.00
_symmetry_space_group_name_H-M 'F -4 3 m'
_symmetry_Int_Tables_number 216
_symmetry_space_group_name_Hall 'F -4 2 3'
loop_
_atom_site_label
_atom_site_type_symbol
_atom_site_fract_x
_atom_site_fract_y
_atom_site_fract_z
Dy1 Dy 0.000 0.000 0.000
Th1 Th 0.000 0.000 0.500
Tl1 Tl 0.250 0.250 0.250
Pd1 Pd 0.250 0.250 0.750
```